(1)
Ho4ScZn | PBE | optimized geometry

As for the energy of formation from the pure elements: -0.086 eV per atom. The excess energy over the best structure of this formula in the dataset comes out at 0 meV per atom.

The structure belongs to space group P4/mmm (No. 123); the cell edges are 3.503, 3.503 and 13.268 Å and the angles 90.00°, 90.00° and 90.00°. The inequivalent atoms are Ho at (0.000, 0.000, 0.135), Ho at (0.500, 0.500, 0.327), Sc at (0.000, 0.000, 0.500) and Zn at (0.500, 0.500, 0.000).



(2)
BaNpRhSe3 | PBE | optimized geometry

For the formation energy without anion corrections, the calculation gives -1.188 eV/atom.

The structure belongs to space group P2_1/m (No. 11); the cell edges are 8.770, 4.213 and 9.320 Å and the angles 90.00°, 105.71° and 90.00°. The inequivalent atoms are Ba at (0.189, 0.250, 0.246), Np at (0.322, 0.750, 0.841), Rh at (0.089, 0.250, 0.587), Se at (0.113, 0.250, 0.871), Se at (0.209, 0.750, 0.528) and Se at (0.449, 0.750, 0.165).



(3)
SnCCl3 | PBE | optimized geometry

The excess energy over the best structure of this formula in the dataset comes out at 494 meV per atom. For the formation energy without anion corrections, the calculation gives 0.883 eV/atom.

The structure belongs to space group Pm-3m (No. 221); the cell edges are 5.276, 5.276 and 5.276 Å and the angles 90.00°, 90.00° and 90.00°. The inequivalent atoms are Sn at (0.000, 0.000, 0.000), C at (0.500, 0.500, 0.500) and Cl at (0.000, 0.000, 0.500).



(4)
CeTcSn2 | PBE | optimized geometry

As for the energy of formation from the pure elements: -0.226 eV per atom.

The structure belongs to space group R-3m (No. 166, hexagonal axes); the cell edges are 4.6155, 4.6155 and 15.0511 Å and the angles 90.00°, 90.00° and 120.00°. The inequivalent atoms are Ce at (0.0000, 0.0000, 0.0000), Tc at (0.0000, 0.0000, 0.5000) and Sn at (0.0000, 0.0000, 0.2252).



(5)
Ag12As3H5 | PBE | optimized geometry

The structure belongs to space group Ia-3d (No. 230); the cell edges are 13.493, 13.493 and 13.493 Å and the angles 90.00°, 90.00° and 90.00°. The inequivalent atoms are Ag at (0.042, 0.053, 0.645), As at (0.000, 0.250, 0.125), H at (0.000, 0.000, 0.000) and H at (0.000, 0.250, 0.375).



(6)
YZrB12 | PBE | optimized geometry

As for the energy of formation from the pure elements: -0.211 eV per atom.

The structure belongs to space group P4/mmm (No. 123); the cell edges are 4.081, 4.081 and 8.149 Å and the angles 90.00°, 90.00° and 90.00°. The inequivalent atoms are Y at (0.000, 0.000, 0.000), Zr at (0.000, 0.000, 0.500), B at (0.198, 0.500, 0.252), B at (0.500, 0.500, 0.100) and B at (0.500, 0.500, 0.402).



(7)
LaBeSbIr2 | PBE | optimized geometry

For the formation energy without anion corrections, the calculation gives -0.127 eV/atom.

The structure belongs to space group P4/mmm (No. 123); the cell edges are 4.463, 4.463 and 4.792 Å and the angles 90.00°, 90.00° and 90.00°. The inequivalent atoms are La at (0.000, 0.000, 0.000), Be at (0.500, 0.500, 0.500), Sb at (0.500, 0.500, 0.000) and Ir at (0.000, 0.500, 0.500).



(8)
NdRe | PBE | optimized geometry

As for the energy of formation from the pure elements: 0.250 eV per atom.

The structure belongs to space group P2_1/m (No. 11); the cell edges are 4.772, 3.964 and 6.009 Å and the angles 90.00°, 113.14° and 90.00°. The inequivalent atoms are Nd at (0.146, 0.250, 0.290) and Re at (0.432, 0.250, 0.879).



Raw total energy across the listed records, respectively: -4.405 -6.633 -2.870 -6.302 -3.020 -7.007 -6.227 -8.358 eV/atom.